1.
TiMo2Ru2: relaxed, GGA-PBE.

Lattice parameters (Å, degrees): 4.0018 4.0018 10.9161 90.00 90.00 90.00
With the nearest neighbours (Å) after each atom.
Space group I4/mmm (No. 139)
Symmetry-distinct sites (fractional):
Ti: 0.0000 0.0000 0.0000 [2 per cell]  8 Ru 3.06, 8 Mo 3.38
Mo: 0.0000 0.5000 0.2500 [4 per cell]  4 Ru 2.53, 4 Mo 2.83
Ru: 0.0000 0.0000 0.3926 [4 per cell]  1 Ru 2.35, 4 Mo 2.53

Properties
V ... 87 Å³/f.u.
Energy relative to the lowest polymorph listed for this composition ... 0.248 eV per atom
Total energy ... -0.342 hartree per atom
M_tot ... 0.0 μB per formula unit

---

2.
TiMoRu2: relaxed, GGA-PBE.

Lattice parameters (Å, degrees): 4.4801 4.4801 2.9719 90.00 90.00 90.00
With the nearest neighbours (Å) after each atom.
Space group P4/mmm (No. 123)
Symmetry-distinct sites (fractional):
Ti: 0.0000 0.0000 0.0000 [1 per cell]  8 Ru 2.69, 2 Ti 2.97
Mo: 0.5000 0.5000 0.0000 [1 per cell]  8 Ru 2.69, 2 Mo 2.97
Ru: 0.0000 0.5000 0.5000 [2 per cell]  4 Mo 2.69, 4 Ti 2.69, 2 Ru 2.97

Properties
V ... 60 Å³/f.u.
Total energy ... -0.350 hartree per atom
M_tot ... 0.0 μB per formula unit

---

3.
Ti4MoRu: relaxed, GGA-PBE.

Lattice parameters (Å, degrees): 4.2562 4.2562 21.1999 90.00 90.00 120.00
With the nearest neighbours (Å) after each atom.
Space group R-3m (No. 166, hexagonal axes)
Symmetry-distinct sites (fractional):
Ti: 0.0000 0.0000 0.1244 [6 per cell]  3 Mo 2.62, 1 Ru 2.64
Ti: 0.0000 0.0000 0.3745 [6 per cell]  3 Ru 2.61, 1 Mo 2.66
Mo: 0.0000 0.0000 0.5000 [3 per cell]  8 Ti 2.62-2.66
Ru: 0.0000 0.0000 0.0000 [3 per cell]  8 Ti 2.61-2.64

Properties
V ... 111 Å³/f.u.
Total energy ... -0.310 hartree per atom
M_tot ... 0.0 μB per formula unit